Entry 1:
This record from the Alexandria database describes an optimized crystal structure of LiNiTe2. The functional is GGA-PBE.

Its density of states at the Fermi level is 1.15 states/eV per atom. The calculation puts the formation energy without anion corrections at 0.318 eV/atom. For the total magnetization, the calculation gives 0.00 μB per cell.

The space group is F-43m (No. 216) and the conventional cell measures 7.0162, 7.0162 and 7.0162 Å, with angles of 90.00, 90.00 and 90.00 degrees. Symmetry generates all atoms from Li at (0.0000, 0.0000, 0.0000), Ni at (0.2500, 0.2500, 0.2500), Te at (0.0000, 0.0000, 0.5000) and Te at (0.2500, 0.2500, 0.7500).


Entry 2:
This record from the Alexandria database describes an optimized crystal structure of Sr2ZnNiC. The functional is GGA-PBE.

Its density of states at the Fermi level is 0.43 states/eV per atom. The value obtained for the energy of formation from the pure elements is -0.06 eV per formula unit. For the total magnetization, the calculation gives 0.00 μB per cell.

The space group is P4/mmm (No. 123) and the conventional cell measures 5.5215, 5.5215 and 3.6665 Å, with angles of 90.00, 90.00 and 90.00 degrees. Symmetry generates all atoms from Sr at (0.0000, 0.5000, 0.0000), Zn at (0.0000, 0.0000, 0.5000), Ni at (0.5000, 0.5000, 0.5000) and C at (0.5000, 0.5000, 0.0000).


Entry 3:
This record from the Alexandria database describes an optimized crystal structure of V2Ru. The functional is GGA-PBE.

Its density of states at the Fermi level is 0.85 states/eV per atom. The value obtained for the energy of formation from the pure elements is -0.75 eV per formula unit. For the total magnetization, the calculation gives 0.00 μB per cell.

The space group is C2/m (No. 12) and the conventional cell measures 9.5136, 2.9855 and 6.0497 Å, with angles of 90.00, 109.35 and 90.00 degrees. Symmetry generates all atoms from V at (0.0044, 0.0000, 0.2455), V at (0.1681, 0.5000, 0.0832) and Ru at (0.1610, 0.5000, 0.5936).


Entry 4:
This record from the Alexandria database describes an optimized crystal structure of TaBIN2. The functional is GGA-PBE.

The offset from the most stable computed form is 0.9474 eV/atom. Its density of states at the Fermi level is 0.64 states/eV per atom. The calculation puts the formation energy without anion corrections at 2.005 eV/atom. For the total magnetization, the calculation gives 0.00 μB per cell.

The space group is P4/mmm (No. 123) and the conventional cell measures 3.8372, 3.8372 and 4.3856 Å, with angles of 90.00, 90.00 and 90.00 degrees. Symmetry generates all atoms from Ta at (0.0000, 0.0000, 0.0000), B at (0.5000, 0.5000, 0.5000), I at (0.5000, 0.5000, 0.0000) and N at (0.0000, 0.5000, 0.5000).


Among the records above, which one has the lowest density of states at the Fermi level?
Sr2ZnNiC